Material: LiTlI2
Method: DFT, PBE-GGA
State: optimized geometry

It has space group P1 (No. 1), with a = 4.8095 Å, b = 5.1835 Å, c = 12.4296 Å, α = 90.00°, β = 89.94° and γ = 90.00°. Symmetry generates all atoms from Li at (0.0000, 0.0000, 0.0000), Li at (0.4995, 0.4999, 0.2178), Tl at (0.4993, 0.6388, 0.7443), Tl at (0.9970, 0.1389, 0.4736), I at (0.9996, 0.1476, 0.7747), I at (0.4973, 0.6478, 0.4431), I at (0.4998, 0.7230, 0.0111) and I at (0.9992, 0.2230, 0.2067).

The calculation puts the formation energy from raw total energies at -3.6 eV/f.u. The crystal system is triclinic.

---

Material: Ho2AlSi
Method: DFT, PBE-GGA
State: optimized geometry

It has space group P2_1/m (No. 11), with a = 5.8022 Å, b = 3.9581 Å, c = 8.4324 Å, α = 90.00°, β = 107.53° and γ = 90.00°. Symmetry generates all atoms from Ho at (0.2020, 0.2500, 0.4240), Ho at (0.2812, 0.7500, 0.0665), Al at (0.3629, 0.7500, 0.7131) and Si at (0.1409, 0.2500, 0.7906).

The calculation puts the formation energy from raw total energies at -2.6 eV/f.u. The crystal system is monoclinic.

---

Material: BeSiSO2
Method: DFT, PBE-GGA
State: optimized geometry

It has space group P4/mmm (No. 123), with a = 3.2875 Å, b = 3.2875 Å, c = 6.0787 Å, α = 90.00°, β = 90.00° and γ = 90.00°. Symmetry generates all atoms from Be at (0.0000, 0.0000, 0.0000), Si at (0.0000, 0.0000, 0.5000), S at (0.5000, 0.5000, 0.5000) and O at (0.0000, 0.5000, 0.0000).

The calculation puts the formation energy from raw total energies at -1.9 eV/f.u. The crystal system is tetragonal.

---

Number 1: uncorrected energy -0.101 hartree per atom. Number 2: uncorrected energy -0.192 hartree per atom. Number 3: uncorrected energy -0.184 hartree per atom.